NiP, optimized geometry, DFT PBE-GGA; space-group type = Cmc2_1 (36); formation enthalpy at 0 K = -414 meV/atom; calculated total energy = -72.1 eV per cell
1.0
5.0695 -2.9756 0.0000
5.0695 2.9756 0.0000
0.0000 0.0000 4.9703
Ni P
6 6
Cartesian
5.0695 2.6439 2.4852
3.6083 0.3564 2.6480
3.6083 -0.3564 0.1629
6.5307 0.3564 2.6480
6.5307 -0.3564 0.1629
5.0695 -2.6439 0.0000
3.4395 1.8526 0.9557
5.0695 1.1396 4.2144
6.6994 1.8526 0.9557
3.4395 -1.8526 3.4408
5.0695 -1.1396 1.7293
6.6994 -1.8526 3.4408

---

SrB2Pt, optimized geometry, DFT PBE-GGA; space-group type = I4_1/amd (141); formation enthalpy at 0 K = -176 meV/atom; calculated total energy = -43.6 eV per cell; ΔE to the lowest computed polymorph = 0.0 meV per atom
1.0
-2.4230 2.4230 6.3892
2.4230 -2.4230 6.3892
2.4230 2.4230 -6.3892
Sr B Pt
2 4 2
Cartesian
2.4230 1.2115 1.5973
0.0000 1.2115 4.7919
0.0000 0.0000 0.0000
1.2115 1.2115 -3.1946
1.2115 -1.2115 3.1946
0.0000 2.4230 0.0000
2.4230 -1.2115 4.7919
0.0000 3.6345 1.5973

---

TaCr2Cl, optimized geometry, DFT PBE-GGA; raw formation energy = 0.793 eV/atom; space-group type = I-4m2 (119); calculated total energy = -29.8 eV per cell; ΔE to the lowest computed polymorph = 704.1 meV per atom
1.0
-1.8117 1.8117 4.6609
1.8117 -1.8117 4.6609
1.8117 1.8117 -4.6609
Ta Cr Cl
1 2 1
Cartesian
0.0000 0.0000 0.0000
0.0000 0.0000 4.6609
0.0000 1.8117 2.3305
1.8117 0.0000 2.3305

---

no.,total magnetization (μB per cell)
1,0.00
2,0.00
3,1.59